No. 1
First-principles (GGA-PBE) data for Gd2LuSn after structural relaxation, as listed in Alexandria via LeMat-Bulk.

Properties
DFT formation energy: -0.370 eV per atom
distance to the lowest polymorph of the same formula: 58 meV per atom

The structure in POSCAR format:
```
Gd2LuSn
1.0
-0.271 3.970 -1.266
-4.054 -0.544 -0.840
-1.531 1.864 6.175
Lu Gd Sn
1 2 1
direct
0.500 0.500 0.500
0.000 0.000 0.235
0.000 0.000 0.765
0.500 0.500 0.000
```

=====

No. 2
First-principles (GGA-PBE) data for Gd2LuSn after structural relaxation, as listed in Alexandria via LeMat-Bulk.

Properties
DFT formation energy: -0.428 eV per atom
distance to the lowest polymorph of the same formula: 0 meV per atom

The structure in POSCAR format:
```
Gd2LuSn
1.0
-1.507 0.680 4.564
-4.403 -1.449 -1.238
1.189 -4.524 1.067
Gd Sn Lu
2 1 1
direct
0.000 0.000 0.500
0.000 0.500 0.000
0.500 0.000 0.000
0.500 0.500 0.500
```

=====

No. 3
First-principles (GGA-PBE) data for Gd2LuSn after structural relaxation, as listed in Alexandria via LeMat-Bulk.

Properties
DFT formation energy: -0.276 eV per atom
distance to the lowest polymorph of the same formula: 152 meV per atom

The structure in POSCAR format:
```
Gd2LuSn
1.0
5.414 0.000 0.000
2.707 4.689 0.000
2.707 1.563 4.421
Gd Sn Lu
2 1 1
direct
0.750 0.750 0.750
0.250 0.250 0.250
0.500 0.500 0.500
0.000 0.000 0.000
```

=====

No. 4
First-principles (GGA-PBE) data for TbGdLuSn after structural relaxation, as listed in Alexandria via LeMat-Bulk.

Properties
DFT formation energy: -0.260 eV per atom

The structure in POSCAR format:
```
TbGdLuSn
1.0
-0.104 -1.330 5.232
4.524 -1.616 2.465
2.377 3.196 3.645
Tb Sn Gd Lu
1 1 1 1
direct
0.000 0.000 0.000
0.250 0.250 0.250
0.500 0.500 0.500
0.750 0.750 0.750
```

=====

No. 5
First-principles (GGA-PBE) data for SrGdLu after structural relaxation, as listed in Alexandria via LeMat-Bulk.

Properties
DFT formation energy: 0.173 eV per atom
distance to the lowest polymorph of the same formula: 31 meV per atom

The structure in POSCAR format:
```
SrGdLu
1.0
-2.644 -0.666 -2.514
-0.135 -1.655 3.316
-4.942 7.063 3.325
Sr Lu Gd
1 1 1
direct
0.000 0.000 0.006
0.667 0.333 0.352
0.333 0.667 0.642
```

=====

No. 6
First-principles (GGA-PBE) data for SrGdLu2 after structural relaxation, as listed in Alexandria via LeMat-Bulk.

Properties
DFT formation energy: 0.159 eV per atom

The structure in POSCAR format:
```
SrGdLu2
1.0
-1.426 3.104 1.299
-3.111 -0.678 -1.796
-3.655 -5.142 8.273
Lu Sr Gd
2 1 1
direct
0.000 0.000 0.780
0.000 0.000 0.220
0.500 0.500 0.500
0.500 0.500 0.000
```

=====

| no. | DOS at the Fermi energy (states/eV/atom) |
| --- | --- |
| 1 | 0.7808 |
| 2 | 1.3326 |
| 3 | 0.9129 |
| 4 | 1.0404 |
| 5 | 1.8567 |
| 6 | 1.7336 |